NiSbMoI2, optimized geometry, DFT PBE-GGA; formation energy without anion corrections = 4.9 eV per formula unit; ΔE to the lowest computed polymorph = 0 meV per atom; final energy = -3.782 eV/atom; space-group type = P4/mmm (123)
1.0
5.285 0.000 0.000
0.000 5.285 0.000
0.000 0.000 4.988
Ni Sb Mo I
1 1 1 2
Direct
0.000 0.000 0.000
0.000 0.000 0.500
0.500 0.500 0.500
0.000 0.500 0.000
0.500 0.000 0.000

***

NiSb2MoI, optimized geometry, DFT PBE-GGA; formation energy without anion corrections = 5.2 eV per formula unit; ΔE to the lowest computed polymorph = 92 meV per atom; final energy = -4.234 eV/atom; space-group type = P4/mmm (123)
1.0
5.146 0.000 0.000
0.000 5.146 0.000
0.000 0.000 5.732
Ni Sb Mo I
1 2 1 1
Direct
0.000 0.000 0.000
0.000 0.500 0.500
0.500 0.000 0.500
0.500 0.500 0.500
0.500 0.500 0.000

***

NiSbMoI2, optimized geometry, DFT PBE-GGA; formation energy without anion corrections = 5.5 eV per formula unit; ΔE to the lowest computed polymorph = 120 meV per atom; final energy = -3.662 eV/atom; space-group type = P4/mmm (123)
1.0
5.580 0.000 0.000
0.000 5.580 0.000
0.000 0.000 5.251
Ni Sb Mo I
1 1 1 2
Direct
0.000 0.000 0.000
0.500 0.500 0.000
0.500 0.500 0.500
0.000 0.500 0.500
0.500 0.000 0.500

***

NiSb2MoI, optimized geometry, DFT PBE-GGA; formation energy without anion corrections = 4.8 eV per formula unit; ΔE to the lowest computed polymorph = 0 meV per atom; final energy = -4.326 eV/atom; space-group type = P4/mmm (123)
1.0
4.925 0.000 0.000
0.000 4.925 0.000
0.000 0.000 5.310
Ni Sb Mo I
1 2 1 1
Direct
0.000 0.000 0.000
0.000 0.500 0.000
0.500 0.000 0.000
0.500 0.500 0.500
0.000 0.000 0.500

***

SrNiMo2I, optimized geometry, DFT PBE-GGA; formation energy without anion corrections = 5.4 eV per formula unit; final energy = -5.048 eV/atom; space-group type = P4/mmm (123)
1.0
4.641 0.000 0.000
0.000 4.641 0.000
0.000 0.000 5.495
Sr Ni Mo I
1 1 2 1
Direct
0.000 0.000 0.000
0.500 0.500 0.500
0.000 0.500 0.500
0.500 0.000 0.500
0.500 0.500 0.000

***

NiTeMoI2, optimized geometry, DFT PBE-GGA; formation energy without anion corrections = 4.9 eV per formula unit; ΔE to the lowest computed polymorph = 77 meV per atom; final energy = -3.599 eV/atom; space-group type = P4/mmm (123)
1.0
5.671 0.000 0.000
0.000 5.671 0.000
0.000 0.000 5.215
Ni Te Mo I
1 1 1 2
Direct
0.000 0.000 0.000
0.500 0.500 0.000
0.500 0.500 0.500
0.000 0.500 0.500
0.500 0.000 0.500

***

Q: Which value of formation energy without anion corrections does entry 1 give?
A: 4.9 eV per formula unit

***

Q: Which value of formation energy without anion corrections does entry 1 give?
A: 4.9 eV per formula unit